# 1
Below is a relaxed LiZrRe crystal, with properties calculated at the PBE-GGA level.

Cell lengths 6.257, 6.257, 6.257 Å; angles 90.00, 90.00, 90.00 degrees
Space group F-43m (No. 216)
Inequivalent atoms, fractional coordinates:
Li: 0.000 0.000 0.000 (multiplicity 4)
Zr: 0.250 0.250 0.250 (multiplicity 4)
Re: 0.000 0.000 0.500 (multiplicity 4)

- magnetic moment (μB/f.u.) = 0.00
- formation enthalpy at 0 K (eV/atom) = 1.1430

***

# 2
Below is a relaxed Li2ZrRe crystal, with properties calculated at the PBE-GGA level.

Cell lengths 2.7779, 2.7779, 31.1117 Å; angles 90.00, 90.00, 120.00 degrees
Space group R-3m (No. 166, hexagonal axes)
Inequivalent atoms, fractional coordinates:
Li: 0.0000 0.0000 0.2411 (multiplicity 6)
Zr: 0.0000 0.0000 0.0000 (multiplicity 3)
Re: 0.0000 0.0000 0.5000 (multiplicity 3)

- magnetic moment (μB/f.u.) = 0.35
- formation enthalpy at 0 K (eV/atom) = 0.3771

***

# 3
Below is a relaxed Li2ZrRe crystal, with properties calculated at the PBE-GGA level.

Cell lengths 2.715, 5.015, 5.059 Å; angles 90.00, 99.20, 90.00 degrees
Space group P2/m (No. 10)
Inequivalent atoms, fractional coordinates:
Li: 0.227 0.000 0.281 (multiplicity 2)
Zr: 0.500 0.500 0.000 (multiplicity 1)
Re: 0.000 0.500 0.500 (multiplicity 1)

- magnetic moment (μB/f.u.) = 0.00
- formation enthalpy at 0 K (eV/atom) = 0.2437

***

# 4
Below is a relaxed LiZr3Re crystal, with properties calculated at the PBE-GGA level.

Cell lengths 4.576, 4.576, 4.576 Å; angles 90.00, 90.00, 90.00 degrees
Space group Pm-3m (No. 221)
Inequivalent atoms, fractional coordinates:
Li: 0.000 0.000 0.000 (multiplicity 1)
Zr: 0.000 0.000 0.500 (multiplicity 3)
Re: 0.500 0.500 0.500 (multiplicity 1)

- magnetic moment (μB/f.u.) = 0.00
- formation enthalpy at 0 K (eV/atom) = 1.0103

***

Number 1: uncorrected energy -6.49 eV/atom. Number 2: uncorrected energy -5.83 eV/atom. Number 3: uncorrected energy -5.96 eV/atom. Number 4: uncorrected energy -6.99 eV/atom.